The following is a PBE-GGA calculation of Na4Sn2Hg after structural relaxation, from the Alexandria database.

The space group is I4/mmm (No. 139) and the conventional cell measures 5.844, 5.844 and 15.101 Å, with angles of 90.00, 90.00 and 90.00 degrees. The asymmetric unit holds Na at (0.000, 0.000, 0.201), Na at (0.000, 0.500, 0.000), Sn at (0.000, 0.000, 0.407) and Hg at (0.000, 0.000, 0.000).

As for the energy of formation from the pure elements: -0.0423 eV/atom. The value obtained for the uncorrected energy is -1.983 eV/atom. For the energy above the lowest structure with this stoichiometry, the calculation gives 123.2 meV per atom.

The following is a PBE-GGA calculation of NaSn3Hg after structural relaxation, from the Alexandria database.

The space group is Pm-3m (No. 221) and the conventional cell measures 5.672, 5.672 and 5.672 Å, with angles of 90.00, 90.00 and 90.00 degrees. The asymmetric unit holds Na at (0.000, 0.000, 0.000), Sn at (0.000, 0.500, 0.500) and Hg at (0.500, 0.500, 0.500).

As for the energy of formation from the pure elements: 0.3591 eV/atom. The value obtained for the uncorrected energy is -2.367 eV/atom. For the energy above the lowest structure with this stoichiometry, the calculation gives 420.1 meV per atom.

The following is a PBE-GGA calculation of Na3Sn5Hg12 after structural relaxation, from the Alexandria database.

The space group is Ia-3d (No. 230) and the conventional cell measures 17.223, 17.223 and 17.223 Å, with angles of 90.00, 90.00 and 90.00 degrees. The asymmetric unit holds Na at (0.000, 0.250, 0.125), Sn at (0.000, 0.000, 0.000), Sn at (0.000, 0.250, 0.375) and Hg at (0.012, 0.076, 0.654).

As for the energy of formation from the pure elements: 0.1117 eV/atom. The value obtained for the uncorrected energy is -1.268 eV/atom.

The following is a PBE-GGA calculation of NaSn2Hg after structural relaxation, from the Alexandria database.

The space group is R3m (No. 160, hexagonal axes) and the conventional cell measures 5.0694, 5.0694 and 14.5214 Å, with angles of 90.00, 90.00 and 120.00 degrees. The asymmetric unit holds Na at (0.0000, 0.0000, 0.0000), Sn at (0.0000, 0.0000, 0.5084), Sn at (0.0000, 0.0000, 0.7580) and Hg at (0.0000, 0.0000, 0.2618).

As for the energy of formation from the pure elements: -0.0831 eV/atom. The value obtained for the uncorrected energy is -2.490 eV/atom.

The following is a PBE-GGA calculation of Na2Sn2Hg after structural relaxation, from the Alexandria database.

The space group is P-1 (No. 2) and the conventional cell measures 3.497, 4.224 and 9.583 Å, with angles of 102.56, 99.53 and 91.85 degrees. The asymmetric unit holds Na at (0.095, 0.099, 0.199), Sn at (0.303, 0.292, 0.584) and Hg at (0.500, 0.500, 0.000).

As for the energy of formation from the pure elements: -0.1691 eV/atom. The value obtained for the uncorrected energy is -2.358 eV/atom. For the energy above the lowest structure with this stoichiometry, the calculation gives 0.0 meV per atom.

The following is a PBE-GGA calculation of NaSn2Hg8 after structural relaxation, from the Alexandria database.

The space group is P-1 (No. 2) and the conventional cell measures 4.676, 7.835 and 8.261 Å, with angles of 88.32, 84.53 and 86.60 degrees. The asymmetric unit holds Na at (0.000, 0.000, 0.000), Sn at (0.273, 0.476, 0.388), Hg at (0.054, 0.154, 0.619), Hg at (0.115, 0.628, 0.862), Hg at (0.444, 0.099, 0.280) and Hg at (0.475, 0.271, 0.883).

As for the energy of formation from the pure elements: -0.0368 eV/atom. The value obtained for the uncorrected energy is -1.104 eV/atom.

The following is a PBE-GGA calculation of NaSn3Hg3 after structural relaxation, from the Alexandria database.

The space group is P6_3/m (No. 176) and the conventional cell measures 9.1134, 9.1134 and 5.2686 Å, with angles of 90.00, 90.00 and 120.00 degrees. The asymmetric unit holds Na at (0.3333, 0.6667, 0.2500), Sn at (0.0899, 0.8551, 0.2500) and Hg at (0.0978, 0.5941, 0.7500).

As for the energy of formation from the pure elements: -0.0623 eV/atom. The value obtained for the uncorrected energy is -2.096 eV/atom. For the energy above the lowest structure with this stoichiometry, the calculation gives 0.0 meV per atom.

The following is a PBE-GGA calculation of Na2Sn2Hg after structural relaxation, from the Alexandria database.

The space group is I4/mmm (No. 139) and the conventional cell measures 4.416, 4.416 and 14.586 Å, with angles of 90.00, 90.00 and 90.00 degrees. The asymmetric unit holds Na at (0.000, 0.500, 0.250), Sn at (0.000, 0.000, 0.094) and Hg at (0.000, 0.000, 0.500).

As for the energy of formation from the pure elements: 0.0782 eV/atom. The value obtained for the uncorrected energy is -2.111 eV/atom. For the energy above the lowest structure with this stoichiometry, the calculation gives 247.3 meV per atom.

The following is a PBE-GGA calculation of NaSn2Hg after structural relaxation, from the Alexandria database.

The space group is I-42d (No. 122) and the conventional cell measures 4.428, 4.428 and 22.641 Å, with angles of 90.00, 90.00 and 90.00 degrees. The asymmetric unit holds Na at (0.000, 0.000, 0.000), Sn at (0.246, 0.250, 0.625) and Hg at (0.000, 0.000, 0.500).

As for the energy of formation from the pure elements: -0.0475 eV/atom. The value obtained for the uncorrected energy is -2.454 eV/atom.

The following is a PBE-GGA calculation of NaSnHg6 after structural relaxation, from the Alexandria database.

The space group is Amm2 (No. 38) and the conventional cell measures 5.169, 7.558 and 10.523 Å, with angles of 90.00, 90.00 and 90.00 degrees. The asymmetric unit holds Na at (0.000, 0.000, 0.000), Sn at (0.500, 0.000, 0.744), Hg at (0.000, 0.000, 0.534), Hg at (0.000, 0.226, 0.267), Hg at (0.500, 0.000, 0.192) and Hg at (0.500, 0.226, 0.469).

As for the energy of formation from the pure elements: -0.0672 eV/atom. The value obtained for the uncorrected energy is -0.959 eV/atom. For the energy above the lowest structure with this stoichiometry, the calculation gives 0.0 meV per atom.

The following is a PBE-GGA calculation of Na7Sn2Hg2 after structural relaxation, from the Alexandria database.

The space group is C2/m (No. 12) and the conventional cell measures 7.962, 10.093 and 8.109 Å, with angles of 90.00, 102.72 and 90.00 degrees. The asymmetric unit holds Na at (0.000, 0.000, 0.000), Na at (0.204, 0.288, 0.186), Na at (0.224, 0.000, 0.472), Sn at (0.096, 0.500, 0.848) and Hg at (0.000, 0.268, 0.500).

As for the energy of formation from the pure elements: -0.1691 eV/atom. The value obtained for the uncorrected energy is -1.791 eV/atom. For the energy above the lowest structure with this stoichiometry, the calculation gives 0.0 meV per atom.

The following is a PBE-GGA calculation of Na2SnHg after structural relaxation, from the Alexandria database.

The space group is R-3m (No. 166, hexagonal axes) and the conventional cell measures 3.4266, 3.4266 and 33.6051 Å, with angles of 90.00, 90.00 and 120.00 degrees. The asymmetric unit holds Na at (0.0000, 0.0000, 0.0926), Sn at (0.0000, 0.0000, 0.0000) and Hg at (0.0000, 0.0000, 0.5000).

As for the energy of formation from the pure elements: -0.0303 eV/atom. The value obtained for the uncorrected energy is -1.766 eV/atom.

The following is a PBE-GGA calculation of Na4SnHg5 after structural relaxation, from the Alexandria database.

The space group is P4/mmm (No. 123) and the conventional cell measures 3.751, 3.751 and 18.280 Å, with angles of 90.00, 90.00 and 90.00 degrees. The asymmetric unit holds Na at (0.000, 0.000, 0.100), Na at (0.000, 0.000, 0.303), Sn at (0.000, 0.000, 0.500), Hg at (0.500, 0.500, 0.000), Hg at (0.500, 0.500, 0.199) and Hg at (0.500, 0.500, 0.395).

As for the energy of formation from the pure elements: -0.2046 eV/atom. The value obtained for the uncorrected energy is -1.283 eV/atom.

The following is a PBE-GGA calculation of Na3Sn4Hg after structural relaxation, from the Alexandria database.

The space group is Immm (No. 71) and the conventional cell measures 3.216, 6.416 and 20.877 Å, with angles of 90.00, 90.00 and 90.00 degrees. The asymmetric unit holds Na at (0.000, 0.000, 0.000), Na at (0.000, 0.500, 0.238), Sn at (0.000, 0.257, 0.377) and Hg at (0.000, 0.000, 0.500).

As for the energy of formation from the pure elements: -0.1191 eV/atom. The value obtained for the uncorrected energy is -2.653 eV/atom.

The following is a PBE-GGA calculation of Na4Sn2Hg5 after structural relaxation, from the Alexandria database.

The space group is P2/m (No. 10) and the conventional cell measures 8.608, 3.373 and 10.259 Å, with angles of 90.00, 96.30 and 90.00 degrees. The asymmetric unit holds Na at (0.228, 0.000, 0.342), Na at (0.266, 0.000, 0.863), Sn at (0.423, 0.500, 0.624), Hg at (0.000, 0.500, 0.000), Hg at (0.075, 0.500, 0.637) and Hg at (0.382, 0.500, 0.110).

As for the energy of formation from the pure elements: -0.1802 eV/atom. The value obtained for the uncorrected energy is -1.525 eV/atom. For the energy above the lowest structure with this stoichiometry, the calculation gives 11.2 meV per atom.

The following is a PBE-GGA calculation of NaSn3Hg2 after structural relaxation, from the Alexandria database.

The space group is C2/m (No. 12) and the conventional cell measures 18.030, 4.457 and 9.296 Å, with angles of 90.00, 116.66 and 90.00 degrees. The asymmetric unit holds Na at (0.116, 0.000, 0.194), Sn at (0.078, 0.000, 0.702), Sn at (0.084, 0.500, 0.468), Sn at (0.220, 0.500, 0.058), Hg at (0.035, 0.500, 0.887) and Hg at (0.232, 0.000, 0.592).

As for the energy of formation from the pure elements: -0.0649 eV/atom. The value obtained for the uncorrected energy is -2.387 eV/atom. For the energy above the lowest structure with this stoichiometry, the calculation gives 0.0 meV per atom.

The following is a PBE-GGA calculation of Na2SnHg after structural relaxation, from the Alexandria database.

The space group is P4/mmm (No. 123) and the conventional cell measures 3.308, 3.308 and 9.479 Å, with angles of 90.00, 90.00 and 90.00 degrees. The asymmetric unit holds Na at (0.000, 0.000, 0.243), Sn at (0.500, 0.500, 0.500) and Hg at (0.500, 0.500, 0.000).

As for the energy of formation from the pure elements: -0.2080 eV/atom. The value obtained for the uncorrected energy is -1.944 eV/atom.

The following is a PBE-GGA calculation of Na5SnHg after structural relaxation, from the Alexandria database.

The space group is Cmcm (No. 63) and the conventional cell measures 8.817, 7.338 and 13.228 Å, with angles of 90.00, 90.00 and 90.00 degrees. The asymmetric unit holds Na at (0.000, 0.023, 0.250), Na at (0.206, 0.330, 0.108), Sn at (0.000, 0.000, 0.000) and Hg at (0.000, 0.400, 0.750).

As for the energy of formation from the pure elements: -0.1353 eV/atom. The value obtained for the uncorrected energy is -1.692 eV/atom. For the energy above the lowest structure with this stoichiometry, the calculation gives 0.0 meV per atom.

The following is a PBE-GGA calculation of Na2Sn5Hg3 after structural relaxation, from the Alexandria database.

The space group is Ibam (No. 72) and the conventional cell measures 12.644, 13.540 and 6.992 Å, with angles of 90.00, 90.00 and 90.00 degrees. The asymmetric unit holds Na at (0.245, 0.124, 0.000), Sn at (0.000, 0.255, 0.250), Sn at (0.000, 0.500, 0.250), Sn at (0.135, 0.124, 0.500), Hg at (0.000, 0.000, 0.250) and Hg at (0.145, 0.376, 0.000).

As for the energy of formation from the pure elements: -0.0547 eV/atom. The value obtained for the uncorrected energy is -2.411 eV/atom.

The following is a PBE-GGA calculation of Na2Sn4Hg after structural relaxation, from the Alexandria database.

The space group is I4/mmm (No. 139) and the conventional cell measures 6.304, 6.304 and 9.997 Å, with angles of 90.00, 90.00 and 90.00 degrees. The asymmetric unit holds Na at (0.000, 0.500, 0.000), Sn at (0.250, 0.250, 0.250) and Hg at (0.000, 0.000, 0.000).

As for the energy of formation from the pure elements: -0.0527 eV/atom. The value obtained for the uncorrected energy is -2.760 eV/atom.